1 | # B2W2Se PBE-GGA optimized geometry
# theoretical density: 12.302 g/cm³
data_B2W2Se
_chemical_formula_sum 'B4 W4 Se2'
_cell_length_a 4.234
_cell_length_b 4.234
_cell_length_c 7.052
_cell_angle_alpha 90.00
_cell_angle_beta 90.00
_cell_angle_gamma 90.00
_space_group_name_H-M_alt 'I 4/m m m'
_space_group_IT_number 139
_space_group_name_Hall '-I 4 2'
loop_
_atom_site_label
_atom_site_fract_x
_atom_site_fract_y
_atom_site_fract_z
B1 0.000 0.000 0.121
W1 0.000 0.500 0.250
Se1 0.000 0.000 0.500

2 | # B2W2Se PBE-GGA optimized geometry
# theoretical density: 13.172 g/cm³
data_B2W2Se
_chemical_formula_sum 'B4 W4 Se2'
_cell_length_a 6.182
_cell_length_b 6.182
_cell_length_c 3.090
_cell_angle_alpha 90.00
_cell_angle_beta 90.00
_cell_angle_gamma 90.00
_space_group_name_H-M_alt 'P 4/m b m'
_space_group_IT_number 127
_space_group_name_Hall '-P 4 2ab'
loop_
_atom_site_label
_atom_site_fract_x
_atom_site_fract_y
_atom_site_fract_z
B1 0.100 0.400 0.000
W1 0.180 0.680 0.500
Se1 0.000 0.000 0.000

Structures ranked by computed energy, the most stable listed first: 2, 1.